Below is a relaxed structure of NaSmMgAl, with properties calculated at the PBE level.

It has space group F-43m (No. 216), with a = 7.282 Å, b = 7.282 Å, c = 7.282 Å, α = 90.00°, β = 90.00° and γ = 90.00°. The asymmetric unit holds Na at (0.000, 0.000, 0.000), Sm at (0.250, 0.250, 0.250), Mg at (0.250, 0.250, 0.750) and Al at (0.000, 0.000, 0.500).

As for the total moment: 0.000 μB per cell. Its total DFT energy (no corrections) is -2.89 eV per atom. Its formation energy is -47 meV/atom.

---

Below is a relaxed structure of NaMgAlSn, with properties calculated at the PBE level.

It has space group F-43m (No. 216), with a = 7.178 Å, b = 7.178 Å, c = 7.178 Å, α = 90.00°, β = 90.00° and γ = 90.00°. The asymmetric unit holds Na at (0.000, 0.000, 0.000), Mg at (0.000, 0.000, 0.500), Al at (0.250, 0.250, 0.250) and Sn at (0.250, 0.250, 0.750).

As for the total moment: 0.000 μB per cell. Its total DFT energy (no corrections) is -2.65 eV per atom. Its formation energy is 17 meV/atom.

---

Below is a relaxed structure of NaMg2AlSn, with properties calculated at the PBE level.

It has space group P4/mmm (No. 123), with a = 5.262 Å, b = 5.262 Å, c = 5.391 Å, α = 90.00°, β = 90.00° and γ = 90.00°. The asymmetric unit holds Na at (0.000, 0.000, 0.000), Mg at (0.000, 0.500, 0.000), Al at (0.500, 0.500, 0.500) and Sn at (0.000, 0.000, 0.500).

As for the total moment: 0.000 μB per cell. Its total DFT energy (no corrections) is -1.67 eV per atom. Its formation energy is 777 meV/atom.

---

Below is a relaxed structure of NaMgTaAl2, with properties calculated at the PBE level.

It has space group P4/mmm (No. 123), with a = 5.125 Å, b = 5.125 Å, c = 5.474 Å, α = 90.00°, β = 90.00° and γ = 90.00°. The asymmetric unit holds Na at (0.000, 0.000, 0.000), Mg at (0.500, 0.500, 0.000), Ta at (0.500, 0.500, 0.500) and Al at (0.000, 0.500, 0.500).

As for the total moment: 0.247 μB per cell. Its total DFT energy (no corrections) is -3.70 eV per atom. Its formation energy is 752 meV/atom.

---

Below is a relaxed structure of NaTbMgAl, with properties calculated at the PBE level.

It has space group F-43m (No. 216), with a = 7.229 Å, b = 7.229 Å, c = 7.229 Å, α = 90.00°, β = 90.00° and γ = 90.00°. The asymmetric unit holds Na at (0.000, 0.000, 0.000), Tb at (0.250, 0.250, 0.250), Mg at (0.250, 0.250, 0.750) and Al at (0.000, 0.000, 0.500).

As for the total moment: 0.000 μB per cell. Its total DFT energy (no corrections) is -2.84 eV per atom. Its formation energy is -21 meV/atom.

---

Below is a relaxed structure of Na2MgAlTe, with properties calculated at the PBE level.

It has space group P4/mmm (No. 123), with a = 5.637 Å, b = 5.637 Å, c = 5.114 Å, α = 90.00°, β = 90.00° and γ = 90.00°. The asymmetric unit holds Na at (0.000, 0.500, 0.000), Mg at (0.000, 0.000, 0.000), Al at (0.000, 0.000, 0.500) and Te at (0.500, 0.500, 0.500).

As for the total moment: 0.000 μB per cell. Its total DFT energy (no corrections) is -1.94 eV per atom. The calculation puts the formation energy (no corrections) at 0.2876 eV per atom.

---

Below is a relaxed structure of NaMg2AlTe4, with properties calculated at the PBE level.

It has space group Pmn2_1 (No. 31), with a = 9.567 Å, b = 7.802 Å, c = 7.501 Å, α = 90.00°, β = 90.00° and γ = 90.00°. The asymmetric unit holds Na at (0.000, 0.156, 0.000), Mg at (0.246, 0.329, 0.508), Al at (0.000, 0.817, 0.507), Te at (0.000, 0.146, 0.413), Te at (0.000, 0.788, 0.859) and Te at (0.227, 0.669, 0.383).

As for the total moment: 0.000 μB per cell. Its total DFT energy (no corrections) is -3.37 eV per atom. The calculation puts the formation energy (no corrections) at -0.7699 eV per atom.

---

Below is a relaxed structure of NaMgAlTl, with properties calculated at the PBE level.

It has space group F-43m (No. 216), with a = 7.263 Å, b = 7.263 Å, c = 7.263 Å, α = 90.00°, β = 90.00° and γ = 90.00°. The asymmetric unit holds Na at (0.000, 0.000, 0.000), Mg at (0.000, 0.000, 0.500), Al at (0.250, 0.250, 0.750) and Tl at (0.250, 0.250, 0.250).

As for the total moment: 0.000 μB per cell. Its total DFT energy (no corrections) is -2.17 eV per atom. Its formation energy is 82 meV/atom.

---

> Which value of total DFT energy (no corrections) does entry 5 give?

-2.84 eV per atom

---

> What is the formula in the seventh record?

NaMg2AlTe4

---

> Number 8 is which compound?

NaMgAlTl

---

> Look up the total moment of the second one.

0.000 μB per cell